Record 1
ZnIr6Ru | the Alexandria database | PBE-GGA | optimized geometry; Fermi-level density of states = 8.6 states/eV/cell; E_form = -0.028 eV per atom; M_tot = 0.00 μB per cell; electronic total energy = -7.993 eV/atom; theoretical density = 19.0 Mg/m³
1.0
3.8655 0.0000 0.0000
0.0000 3.8655 0.0000
0.0000 0.0000 7.7206
Zn Ir Ru
1 6 1
Direct
0.0000 0.0000 0.0000
0.0000 0.5000 0.2545
0.0000 0.5000 0.7455
0.5000 0.0000 0.2545
0.5000 0.0000 0.7455
0.5000 0.5000 0.0000
0.5000 0.5000 0.5000
0.0000 0.0000 0.5000

Record 2
ZnIr4Ru | the Alexandria database | PBE-GGA | optimized geometry; Fermi-level density of states = 9.3 states/eV/cell; E_form = 0.544 eV per atom; M_tot = 2.71 μB per cell; electronic total energy = -7.122 eV/atom; theoretical density = 16.1 Mg/m³
1.0
0.0000 3.6391 3.6391
3.6391 0.0000 3.6391
3.6391 3.6391 0.0000
Zn Ir Ru
1 4 1
Direct
0.0000 0.0000 0.0000
0.1245 0.6252 0.6252
0.6252 0.1245 0.6252
0.6252 0.6252 0.1245
0.6252 0.6252 0.6252
0.2500 0.2500 0.2500

Record 3
Zn2IrRu2 | the Alexandria database | PBE-GGA | optimized geometry; energy above the most stable polymorph in this dataset = 145 meV per atom; Fermi-level density of states = 5.5 states/eV/cell; E_form = 0.514 eV per atom; M_tot = 1.41 μB per cell; electronic total energy = -5.478 eV/atom; theoretical density = 11.5 Mg/m³
1.0
-1.6610 1.6610 6.8513
1.6610 -1.6610 6.8513
1.6610 1.6610 -6.8513
Zn Ir Ru
2 1 2
Direct
0.2500 0.7500 0.5000
0.7500 0.2500 0.5000
0.0000 0.0000 0.0000
0.4030 0.4030 0.0000
0.5970 0.5970 0.0000

Record 4
ZnIr2Ru | the Alexandria database | PBE-GGA | optimized geometry; Fermi-level density of states = 10.9 states/eV/cell; E_form = 1.090 eV per atom; M_tot = 0.00 μB per cell; electronic total energy = -5.978 eV/atom; theoretical density = 10.5 Mg/m³
1.0
-2.7609 2.7609 5.6927
2.7609 -2.7609 5.6927
2.7609 2.7609 -5.6927
Zn Ir Ru
2 4 2
Direct
0.0000 0.0000 0.0000
0.7500 0.2500 0.5000
0.1413 0.6250 0.0163
0.3750 0.3913 0.5163
0.6087 0.1250 0.9837
0.8750 0.8587 0.4837
0.2500 0.7500 0.5000
0.5000 0.5000 0.0000